The following is a DFT calculation (PBE) of crystalline SrLaRh2 at its relaxed geometry.

It has space group F-43m (No. 216), with a = 7.040 Å, b = 7.040 Å, c = 7.040 Å, α = 90.00°, β = 90.00° and γ = 90.00°. The distinct sites, in fractional coordinates, are Sr at (0.000, 0.000, 0.000), La at (0.250, 0.250, 0.750), Rh at (0.000, 0.000, 0.500) and Rh at (0.250, 0.250, 0.250).

As for the formation enthalpy at 0 K: -0.012 eV per atom. Its crystal system is cubic. The calculation puts the mass density at 8.231 g/cm3. For the total energy, the calculation gives -5.3396 eV/atom.

=====

The following is a DFT calculation (PBE) of crystalline Sr2LaRh at its relaxed geometry.

It has space group Cmmm (No. 65), with a = 5.157 Å, b = 5.193 Å, c = 10.165 Å, α = 90.00°, β = 90.00° and γ = 90.00°. The distinct sites, in fractional coordinates, are Sr at (0.000, 0.000, 0.174), La at (0.000, 0.500, 0.500) and Rh at (0.000, 0.500, 0.000).

As for the formation enthalpy at 0 K: 0.010 eV per atom. Its crystal system is orthorhombic. The calculation puts the mass density at 5.088 g/cm3. For the total energy, the calculation gives -3.9004 eV/atom.

=====

The following is a DFT calculation (PBE) of crystalline SrLa2Rh at its relaxed geometry.

It has space group F-43m (No. 216), with a = 7.683 Å, b = 7.683 Å, c = 7.683 Å, α = 90.00°, β = 90.00° and γ = 90.00°. The distinct sites, in fractional coordinates, are Sr at (0.000, 0.000, 0.000), La at (0.000, 0.000, 0.500), La at (0.250, 0.250, 0.250) and Rh at (0.250, 0.250, 0.750).

As for the formation enthalpy at 0 K: 0.126 eV per atom. Its crystal system is cubic. The calculation puts the mass density at 6.858 g/cm3. For the total energy, the calculation gives -4.5960 eV/atom.

=====

The following is a DFT calculation (PBE) of crystalline SrLaRh2 at its relaxed geometry.

It has space group Pm (No. 6), with a = 3.590 Å, b = 5.082 Å, c = 5.084 Å, α = 90.00°, β = 90.00° and γ = 90.00°. The distinct sites, in fractional coordinates, are Sr at (0.000, 0.000, 0.000), La at (0.001, 0.500, 0.500), Rh at (0.500, 0.000, 0.500) and Rh at (0.500, 0.500, 0.999).

As for the formation enthalpy at 0 K: -0.379 eV per atom. Its crystal system is monoclinic. The calculation puts the mass density at 7.742 g/cm3. For the total energy, the calculation gives -5.7072 eV/atom.

=====

The following is a DFT calculation (PBE) of crystalline Sr2La2Rh at its relaxed geometry.

It has space group P4/mbm (No. 127), with a = 7.527 Å, b = 7.527 Å, c = 6.600 Å, α = 90.00°, β = 90.00° and γ = 90.00°. The distinct sites, in fractional coordinates, are Sr at (0.179, 0.321, 0.000), La at (0.170, 0.670, 0.500) and Rh at (0.000, 0.000, 0.500).

As for the formation enthalpy at 0 K: -0.121 eV per atom. Its crystal system is tetragonal. The calculation puts the mass density at 4.938 g/cm3. For the total energy, the calculation gives -4.2351 eV/atom.

=====

The following is a DFT calculation (PBE) of crystalline SrLa2Rh at its relaxed geometry.

It has space group I4/mmm (No. 139), with a = 4.566 Å, b = 4.566 Å, c = 11.035 Å, α = 90.00°, β = 90.00° and γ = 90.00°. The distinct sites, in fractional coordinates, are Sr at (0.000, 0.000, 0.000), La at (0.000, 0.500, 0.250) and Rh at (0.000, 0.000, 0.500).

As for the formation enthalpy at 0 K: 0.100 eV per atom. Its crystal system is tetragonal. The calculation puts the mass density at 6.759 g/cm3. For the total energy, the calculation gives -4.6222 eV/atom.

=====

The following is a DFT calculation (PBE) of crystalline Sr2LaRh at its relaxed geometry.

It has space group Pmn2_1 (No. 31), with a = 4.135 Å, b = 18.420 Å, c = 4.135 Å, α = 90.00°, β = 90.00° and γ = 90.00°. The distinct sites, in fractional coordinates, are Sr at (0.000, 0.084, 0.000), Sr at (0.000, 0.744, 0.999), La at (0.000, 0.425, 0.998) and Rh at (0.000, 0.585, 0.997).

As for the formation enthalpy at 0 K: -0.354 eV per atom. Its crystal system is orthorhombic. The calculation puts the mass density at 4.397 g/cm3. For the total energy, the calculation gives -4.2642 eV/atom.

=====

The following is a DFT calculation (PBE) of crystalline Sr2LaRh at its relaxed geometry.

It has space group P4/mmm (No. 123), with a = 4.586 Å, b = 4.586 Å, c = 5.798 Å, α = 90.00°, β = 90.00° and γ = 90.00°. The distinct sites, in fractional coordinates, are Sr at (0.000, 0.500, 0.000), La at (0.000, 0.000, 0.500) and Rh at (0.500, 0.500, 0.500).

As for the formation enthalpy at 0 K: 0.097 eV per atom. Its crystal system is tetragonal. The calculation puts the mass density at 5.678 g/cm3. For the total energy, the calculation gives -3.8138 eV/atom.

=====

The following is a DFT calculation (PBE) of crystalline SrLaRh2 at its relaxed geometry.

It has space group Cm (No. 8), with a = 11.231 Å, b = 3.371 Å, c = 5.059 Å, α = 90.00°, β = 100.10° and γ = 90.00°. The distinct sites, in fractional coordinates, are Sr at (0.000, 0.000, 0.000), La at (0.277, 0.500, 0.405), Rh at (0.056, 0.500, 0.525) and Rh at (0.248, 0.000, 0.874).

As for the formation enthalpy at 0 K: -0.250 eV per atom. Its crystal system is monoclinic. The calculation puts the mass density at 7.615 g/cm3. For the total energy, the calculation gives -5.5779 eV/atom.

=====

The following is a DFT calculation (PBE) of crystalline Sr2LaRh at its relaxed geometry.

It has space group Fm-3m (No. 225), with a = 7.853 Å, b = 7.853 Å, c = 7.853 Å, α = 90.00°, β = 90.00° and γ = 90.00°. The distinct sites, in fractional coordinates, are Sr at (0.250, 0.250, 0.250), La at (0.000, 0.000, 0.000) and Rh at (0.000, 0.000, 0.500).

As for the formation enthalpy at 0 K: 0.288 eV per atom. Its crystal system is cubic. The calculation puts the mass density at 5.720 g/cm3. For the total energy, the calculation gives -3.6224 eV/atom.

=====

The following is a DFT calculation (PBE) of crystalline SrLa2Rh at its relaxed geometry.

It has space group Cm (No. 8), with a = 12.625 Å, b = 3.948 Å, c = 6.841 Å, α = 90.00°, β = 122.67° and γ = 90.00°. The distinct sites, in fractional coordinates, are Sr at (0.000, 0.000, 0.000), La at (0.140, 0.500, 0.641), La at (0.325, 0.500, 0.313) and Rh at (0.265, 0.000, 0.986).

As for the formation enthalpy at 0 K: -0.291 eV per atom. Its crystal system is monoclinic. The calculation puts the mass density at 5.418 g/cm3. For the total energy, the calculation gives -5.0126 eV/atom.

=====

The following is a DFT calculation (PBE) of crystalline Sr2LaRh at its relaxed geometry.

It has space group I4/mmm (No. 139), with a = 4.556 Å, b = 4.556 Å, c = 11.786 Å, α = 90.00°, β = 90.00° and γ = 90.00°. The distinct sites, in fractional coordinates, are Sr at (0.000, 0.500, 0.250), La at (0.000, 0.000, 0.000) and Rh at (0.000, 0.000, 0.500).

As for the formation enthalpy at 0 K: 0.123 eV per atom. Its crystal system is tetragonal. The calculation puts the mass density at 5.660 g/cm3. For the total energy, the calculation gives -3.7880 eV/atom.

=====

The following is a DFT calculation (PBE) of crystalline SrLa4Rh at its relaxed geometry.

It has space group F-43m (No. 216), with a = 9.262 Å, b = 9.262 Å, c = 9.262 Å, α = 90.00°, β = 90.00° and γ = 90.00°. The distinct sites, in fractional coordinates, are Sr at (0.000, 0.000, 0.000), La at (0.121, 0.121, 0.621) and Rh at (0.250, 0.250, 0.250).

As for the formation enthalpy at 0 K: 0.485 eV per atom. Its crystal system is cubic. The calculation puts the mass density at 6.238 g/cm3. For the total energy, the calculation gives -4.3055 eV/atom.

=====

The following is a DFT calculation (PBE) of crystalline Sr2LaRh at its relaxed geometry.

It has space group Cmmm (No. 65), with a = 5.473 Å, b = 14.309 Å, c = 4.200 Å, α = 90.00°, β = 90.00° and γ = 90.00°. The distinct sites, in fractional coordinates, are Sr at (0.000, 0.150, 0.000), La at (0.000, 0.500, 0.500) and Rh at (0.000, 0.000, 0.500).

As for the formation enthalpy at 0 K: -0.197 eV per atom. Its crystal system is orthorhombic. The calculation puts the mass density at 4.211 g/cm3. For the total energy, the calculation gives -4.1079 eV/atom.